Record 1
8
Lattice="0.000 4.513 5.595 4.510 0.000 5.595 4.510 4.513 0.000" Properties=species:S:1:pos:R:3 comment="NaAlCd2Se4, relaxed, DFT PBE-GGA" crystal_system=orthorhombic dft_energy_ev_per_atom=-3.4309 space_group="No. 42" volume_a3_per_cell=228 e_form_raw_mev_per_atom=-827.2 magnetic_moment_mub_per_fu=0.00 pbc="T T T"
Na 0.000 0.000 0.000
Al 4.510 4.513 5.587
Cd 2.255 2.257 2.791
Cd 6.764 6.770 8.387
Se 6.514 4.513 4.249
Se 4.510 2.510 6.927
Se 2.505 4.513 4.249
Se 4.510 6.517 6.927


Record 2
4
Lattice="0.000 3.682 3.682 3.682 0.000 3.682 3.682 3.682 0.000" Properties=species:S:1:pos:R:3 comment="NaSmAlCd, relaxed, DFT PBE-GGA" crystal_system=cubic dft_energy_ev_per_atom=-2.7953 space_group="No. 216" volume_a3_per_cell=100 magnetic_moment_mub_per_fu=0.00 ef_ev_per_atom=-0.12 pbc="T T T"
Na 0.000 0.000 0.000
Sm 3.682 3.682 3.682
Al 1.841 1.841 1.841
Cd 5.523 5.523 5.523


Record 3
4
Lattice="0.000 3.587 3.587 3.587 0.000 3.587 3.587 3.587 0.000" Properties=species:S:1:pos:R:3 comment="NaAlCdSn, relaxed, DFT PBE-GGA" crystal_system=cubic dft_energy_ev_per_atom=-2.4726 space_group="No. 216" volume_a3_per_cell=92 magnetic_moment_mub_per_fu=0.00 ef_ev_per_atom=0.02 pbc="T T T"
Na 0.000 0.000 0.000
Al 3.587 3.587 3.587
Cd 1.793 1.793 1.793
Sn 5.380 5.380 5.380


Record 4
4
Lattice="0.000 3.648 3.648 3.648 0.000 3.648 3.648 3.648 0.000" Properties=species:S:1:pos:R:3 comment="NaTbAlCd, relaxed, DFT PBE-GGA" crystal_system=cubic dft_energy_ev_per_atom=-2.7595 space_group="No. 216" volume_a3_per_cell=97 magnetic_moment_mub_per_fu=0.00 ef_ev_per_atom=-0.11 pbc="T T T"
Na 0.000 0.000 0.000
Tb 3.648 3.648 3.648
Al 5.471 5.471 5.471
Cd 1.824 1.824 1.824


Record 5
5
Lattice="4.717 0.000 0.000 0.000 4.717 0.000 0.000 0.000 5.017" Properties=species:S:1:pos:R:3 comment="NaAlCdTc2, relaxed, DFT PBE-GGA" crystal_system=tetragonal dft_energy_ev_per_atom=-4.2037 space_group="No. 123" volume_a3_per_cell=112 magnetic_moment_mub_per_fu=4.07 ef_ev_per_atom=1.14 pbc="T T T"
Na 0.000 0.000 0.000
Al 2.359 2.359 2.508
Cd 2.359 2.359 0.000
Tc 0.000 2.359 2.508
Tc 2.359 0.000 2.508


Record 6
5
Lattice="4.787 0.000 0.000 0.000 4.787 0.000 0.000 0.000 5.307" Properties=species:S:1:pos:R:3 comment="NaAl2CdTc, relaxed, DFT PBE-GGA" crystal_system=tetragonal dft_energy_ev_per_atom=-3.8412 space_group="No. 123" volume_a3_per_cell=122 magnetic_moment_mub_per_fu=0.00 ef_ev_per_atom=0.18 pbc="T T T"
Na 0.000 0.000 0.000
Al 0.000 2.394 2.654
Al 2.394 0.000 2.654
Cd 2.394 2.394 0.000
Tc 2.394 2.394 2.654


Record 7
4
Lattice="0.000 3.614 3.614 3.614 0.000 3.614 3.614 3.614 0.000" Properties=species:S:1:pos:R:3 comment="NaTmAlCd, relaxed, DFT PBE-GGA" crystal_system=cubic dft_energy_ev_per_atom=-2.6903 space_group="No. 216" volume_a3_per_cell=94 magnetic_moment_mub_per_fu=0.00 ef_ev_per_atom=-0.08 pbc="T T T"
Na 0.000 0.000 0.000
Tm 3.614 3.614 3.614
Al 5.421 5.421 5.421
Cd 1.807 1.807 1.807


Record 8
4
Lattice="0.000 3.645 3.645 3.645 0.000 3.645 3.645 3.645 0.000" Properties=species:S:1:pos:R:3 comment="NaYAlCd, relaxed, DFT PBE-GGA" crystal_system=cubic dft_energy_ev_per_atom=-3.2235 space_group="No. 216" volume_a3_per_cell=97 magnetic_moment_mub_per_fu=0.00 ef_ev_per_atom=-0.11 pbc="T T T"
Na 0.000 0.000 0.000
Y 3.645 3.645 3.645
Al 5.467 5.467 5.467
Cd 1.822 1.822 1.822


Record 9
5
Lattice="6.317 0.000 0.000 0.000 6.317 0.000 0.000 0.000 5.736" Properties=species:S:1:pos:R:3 comment="Na2YAlCd, relaxed, DFT PBE-GGA" crystal_system=tetragonal dft_energy_ev_per_atom=-1.6864 space_group="No. 123" volume_a3_per_cell=229 magnetic_moment_mub_per_fu=0.14 ef_ev_per_atom=1.07 pbc="T T T"
Na 0.000 3.159 0.000
Na 3.159 0.000 0.000
Y 0.000 0.000 0.000
Al 3.159 3.159 2.868
Cd 0.000 0.000 2.868


Record 10
4
Lattice="0.000 3.411 3.411 3.411 0.000 3.411 3.411 3.411 0.000" Properties=species:S:1:pos:R:3 comment="NaAlZnCd, relaxed, DFT PBE-GGA" crystal_system=cubic dft_energy_ev_per_atom=-1.7380 space_group="No. 216" volume_a3_per_cell=79 magnetic_moment_mub_per_fu=0.00 ef_ev_per_atom=0.07 pbc="T T T"
Na 0.000 0.000 0.000
Al 3.411 3.411 3.411
Zn 5.116 5.116 5.116
Cd 1.705 1.705 1.705


Record 11
5
Lattice="4.984 0.000 0.000 0.000 4.984 0.000 0.000 0.000 4.942" Properties=species:S:1:pos:R:3 comment="NaZrAl2Cd, relaxed, DFT PBE-GGA" crystal_system=tetragonal dft_energy_ev_per_atom=-2.8695 space_group="No. 123" volume_a3_per_cell=123 magnetic_moment_mub_per_fu=0.66 ef_ev_per_atom=0.78 pbc="T T T"
Na 0.000 0.000 0.000
Zr 2.492 2.492 0.000
Al 0.000 2.492 2.471
Al 2.492 0.000 2.471
Cd 0.000 0.000 2.471


Record 12
10
Lattice="7.549 0.000 0.000 0.000 7.549 0.000 0.000 0.000 3.310" Properties=species:S:1:pos:R:3 comment="NbAl2Cd2, relaxed, DFT PBE-GGA" crystal_system=tetragonal dft_energy_ev_per_atom=-3.6351 space_group="No. 127" volume_a3_per_cell=189 magnetic_moment_mub_per_fu=0.00 de_polymorph_ev_per_atom=0.000 ef_ev_per_atom=0.24 pbc="T T T"
Nb 0.000 0.000 0.000
Nb 3.774 3.774 0.000
Al 1.066 2.708 0.000
Al 2.708 6.483 0.000
Al 4.841 1.066 0.000
Al 6.483 4.841 0.000
Cd 1.206 4.980 1.655
Cd 2.569 1.206 1.655
Cd 4.980 6.343 1.655
Cd 6.343 2.569 1.655


Record 13
5
Lattice="-1.969 1.969 6.262 1.969 -1.969 6.262 1.969 1.969 -6.262" Properties=species:S:1:pos:R:3 comment="NbAl2Cd2, relaxed, DFT PBE-GGA" crystal_system=tetragonal dft_energy_ev_per_atom=-3.5190 space_group="No. 139" volume_a3_per_cell=97 magnetic_moment_mub_per_fu=0.00 de_polymorph_ev_per_atom=0.116 ef_ev_per_atom=0.36 pbc="T T T"
Nb 0.000 0.000 0.000
Al 0.000 0.000 5.077
Al 0.000 0.000 7.446
Cd 1.969 0.000 3.131
Cd 0.000 1.969 3.131


Record 14
5
Lattice="5.519 0.000 0.000 0.000 5.519 0.000 0.000 0.000 5.519" Properties=species:S:1:pos:R:3 comment="NbAlCd3, relaxed, DFT PBE-GGA" crystal_system=cubic dft_energy_ev_per_atom=-2.1755 space_group="No. 221" volume_a3_per_cell=168 magnetic_moment_mub_per_fu=3.29 de_polymorph_ev_per_atom=0.074 ef_ev_per_atom=1.14 pbc="T T T"
Nb 0.000 0.000 0.000
Al 2.759 2.759 2.759
Cd 0.000 0.000 2.759
Cd 0.000 2.759 0.000
Cd 2.759 0.000 0.000


Record 15
5
Lattice="4.755 0.000 0.000 0.000 4.755 0.000 0.000 0.000 4.755" Properties=species:S:1:pos:R:3 comment="Nb3AlCd, relaxed, DFT PBE-GGA" crystal_system=cubic dft_energy_ev_per_atom=-5.9782 space_group="No. 221" volume_a3_per_cell=107 magnetic_moment_mub_per_fu=0.00 de_polymorph_ev_per_atom=0.000 ef_ev_per_atom=1.00 pbc="T T T"
Nb 0.000 0.000 2.377
Nb 0.000 2.377 0.000
Nb 2.377 0.000 0.000
Al 0.000 0.000 0.000
Cd 2.377 2.377 2.377


Record 16
5
Lattice="4.967 0.000 0.000 0.000 4.967 0.000 0.000 0.000 4.967" Properties=species:S:1:pos:R:3 comment="Nb3AlCd, relaxed, DFT PBE-GGA" crystal_system=cubic dft_energy_ev_per_atom=-5.1782 space_group="No. 221" volume_a3_per_cell=123 magnetic_moment_mub_per_fu=0.00 de_polymorph_ev_per_atom=0.800 ef_ev_per_atom=1.80 pbc="T T T"
Nb 0.000 0.000 2.484
Nb 0.000 2.484 0.000
Nb 2.484 0.000 0.000
Al 2.484 2.484 2.484
Cd 0.000 0.000 0.000


Record 17
8
Lattice="-3.640 3.640 2.896 3.640 -3.640 2.896 3.640 3.640 -2.896" Properties=species:S:1:pos:R:3 comment="NbAl2Cd, relaxed, DFT PBE-GGA" crystal_system=tetragonal dft_energy_ev_per_atom=-4.2669 space_group="No. 122" volume_a3_per_cell=154 magnetic_moment_mub_per_fu=0.00 ef_ev_per_atom=0.35 pbc="T T T"
Nb 0.000 0.000 0.000
Nb 0.000 3.640 1.448
Al 1.820 1.882 -0.724
Al 5.399 1.820 0.724
Al 1.820 1.759 2.172
Al -1.759 1.820 3.620
Cd 3.640 0.000 1.448
Cd 0.000 0.000 2.896


Record 18
8
Lattice="-3.742 3.742 2.785 3.742 -3.742 2.785 3.742 3.742 -2.785" Properties=species:S:1:pos:R:3 comment="Nb2AlCd, relaxed, DFT PBE-GGA" crystal_system=tetragonal dft_energy_ev_per_atom=-5.7574 space_group="No. 122" volume_a3_per_cell=156 magnetic_moment_mub_per_fu=0.00 ef_ev_per_atom=0.44 pbc="T T T"
Nb 1.871 1.787 -0.696
Nb 1.955 -1.871 3.482
Nb 1.871 1.955 2.089
Nb 1.787 5.613 0.696
Al 0.000 0.000 0.000
Al 0.000 3.742 1.393
Cd 3.742 0.000 1.393
Cd 0.000 0.000 2.785


Record 19
4
Lattice="4.193 0.000 0.000 0.000 4.193 0.000 0.000 0.000 3.931" Properties=species:S:1:pos:R:3 comment="NbAl2Cd, relaxed, DFT PBE-GGA" crystal_system=tetragonal dft_energy_ev_per_atom=-4.7310 space_group="No. 123" volume_a3_per_cell=69 magnetic_moment_mub_per_fu=0.00 ef_ev_per_atom=-0.11 pbc="T T T"
Nb 0.000 0.000 0.000
Al 0.000 2.096 1.966
Al 2.096 0.000 1.966
Cd 2.096 2.096 0.000


Record 20
5
Lattice="4.929 0.000 0.000 0.000 4.929 0.000 0.000 0.000 4.929" Properties=species:S:1:pos:R:3 comment="NbAlCd3, relaxed, DFT PBE-GGA" crystal_system=cubic dft_energy_ev_per_atom=-2.2497 space_group="No. 221" volume_a3_per_cell=120 magnetic_moment_mub_per_fu=0.00 de_polymorph_ev_per_atom=0.000 ef_ev_per_atom=1.06 pbc="T T T"
Nb 0.000 0.000 0.000
Al 2.465 2.465 2.465
Cd 0.000 2.465 2.465
Cd 2.465 0.000 2.465
Cd 2.465 2.465 0.000